(1)
Compound: Ac2GdGe
Source: the Alexandria database
Functional: PBE-GGA
Structure: optimized geometry

Total moment   7.823 Bohr magnetons per cell
Formation enthalpy at 0 K   -0.213 eV/atom
SG   P4/mmm (123)
Final energy   -6.9421 eV per atom

Cell: 4.8328 5.1731 5.1731 Å, 90.00 90.00 90.00°
Last column: nearest neighbours and their distance in Å.
Fractional coordinates of all 4 atoms:
1 Ge 0.5000 0.0000 0.0000  8 Ac 3.54, 4 Gd 3.66
2 Ac 0.0000 0.0000 0.5000  4 Gd 3.54, 4 Ge 3.54, 4 Ac 3.66
3 Ac 0.0000 0.5000 0.0000  4 Gd 3.54, 4 Ge 3.54, 4 Ac 3.66
4 Gd 0.5000 0.5000 0.5000  8 Ac 3.54, 4 Ge 3.66

(2)
Compound: KBaHgSe2
Source: the Alexandria database
Functional: PBE-GGA
Structure: optimized geometry

Total moment   0.000 Bohr magnetons per cell
Energy above the most stable polymorph in this dataset   0 meV per atom
SG   P2/c (13)
Final energy   -3.0967 eV per atom

Cell: 5.1641 7.8996 8.9434 Å, 101.55 90.00 90.00°
Last column: nearest neighbours and their distance in Å.
Fractional coordinates of all 10 atoms:
1 Ba 0.1763 0.5000 0.7500  6 Se 3.30-3.44
2 Se 0.3178 0.3025 0.0323  1 Hg 2.87
3 Se 0.6822 0.3025 0.5323  1 Hg 2.87
4 Ba 0.8237 0.5000 0.2500  6 Se 3.30-3.44
5 Se 0.3178 0.6975 0.4677  1 Hg 2.87
6 K 0.5224 0.0000 0.7500  4 Se 3.28-3.47, 4 Hg 3.33-3.50
7 Se 0.6822 0.6975 0.9677  1 Hg 2.87
8 Hg 0.0000 0.0000 0.5000  2 Se 2.87
9 K 0.4776 0.0000 0.2500  4 Se 3.28-3.47, 4 Hg 3.33-3.50
10 Hg 0.0000 0.0000 0.0000  2 Se 2.87

(3)
Compound: TbDy6Ho3Sc2
Source: the Alexandria database
Functional: PBE-GGA
Structure: optimized geometry

Total moment   0.000 Bohr magnetons per cell
Formation enthalpy at 0 K   0.035 eV/atom
SG   C2/m (12)
Final energy   -4.8513 eV per atom

Cell: 6.0521 6.0521 11.5527 Å, 95.00 95.00 119.94°
Last column: nearest neighbours and their distance in Å.
Fractional coordinates of all 12 atoms:
1 Sc 0.3334 0.6666 0.0000  6 Dy 3.44, 3 Sc 3.49-3.50, 3 Tb 3.49-3.50
2 Dy 0.2535 0.2535 0.7547  2 Sc 3.44, 1 Tb 3.45, 6 Dy 3.48-3.52, 3 Ho 3.52-3.54
3 Ho 0.1670 0.8330 0.5000  6 Ho 3.49-3.50, 6 Dy 3.52-3.54
4 Dy 0.0824 0.4181 0.2454  2 Sc 3.44, 1 Tb 3.45, 6 Dy 3.48-3.52, 3 Ho 3.52-3.54
5 Dy 0.5819 0.9176 0.7546  2 Sc 3.44, 1 Tb 3.45, 6 Dy 3.48-3.52, 3 Ho 3.52-3.54
6 Sc 0.6666 0.3334 0.0000  6 Dy 3.44, 3 Sc 3.49-3.50, 3 Tb 3.49-3.50
7 Tb 0.0000 0.0000 0.0000  6 Dy 3.45, 6 Sc 3.49-3.50
8 Dy 0.9176 0.5819 0.7546  2 Sc 3.44, 1 Tb 3.45, 6 Dy 3.48-3.52, 3 Ho 3.52-3.54
9 Dy 0.7465 0.7465 0.2453  2 Sc 3.44, 1 Tb 3.45, 6 Dy 3.48-3.52, 3 Ho 3.52-3.54
10 Dy 0.4181 0.0824 0.2454  2 Sc 3.44, 1 Tb 3.45, 6 Dy 3.48-3.52, 3 Ho 3.52-3.54
11 Ho 0.8330 0.1670 0.5000  6 Ho 3.49-3.50, 6 Dy 3.52-3.54
12 Ho 0.5000 0.5000 0.5000  6 Ho 3.49-3.50, 6 Dy 3.52-3.53

(4)
Compound: Tb2Sm3Dy2
Source: the Alexandria database
Functional: PBE-GGA
Structure: optimized geometry

Total moment   0.000 Bohr magnetons per cell
Energy above the most stable polymorph in this dataset   96 meV per atom
Formation enthalpy at 0 K   0.111 eV/atom
SG   C2/m (12)
Final energy   -4.5491 eV per atom

Cell: 3.5165 8.5803 8.9382 Å, 118.43 101.34 90.00°
Last column: nearest neighbours and their distance in Å.
Fractional coordinates of all 7 atoms:
1 Dy 0.8538 0.6740 0.7076  4 Dy 3.52-3.83, 4 Sm 3.54-3.65, 4 Tb 3.60-3.69
2 Tb 0.5648 0.9096 0.1297  3 Tb 3.32-3.52, 5 Sm 3.46-3.61, 4 Dy 3.60-3.69
3 Sm 0.2124 0.8004 0.4248  5 Sm 3.34-3.52, 3 Tb 3.46-3.61, 3 Dy 3.61-3.65
4 Sm 0.0000 0.5000 0.0000  4 Sm 3.34-3.52, 2 Dy 3.54, 4 Tb 3.59
5 Dy 0.1462 0.3260 0.2924  4 Dy 3.52-3.83, 4 Sm 3.54-3.65, 4 Tb 3.60-3.69
6 Tb 0.4352 0.0904 0.8703  3 Tb 3.32-3.52, 5 Sm 3.46-3.61, 4 Dy 3.60-3.69
7 Sm 0.7876 0.1996 0.5752  5 Sm 3.34-3.52, 3 Tb 3.46-3.61, 3 Dy 3.61-3.65

(5)
Compound: Y3AgI
Source: the Alexandria database
Functional: PBE-GGA
Structure: optimized geometry

Total moment   0.000 Bohr magnetons per cell
Energy above the most stable polymorph in this dataset   0 meV per atom
SG   Pm-3m (221)
Final energy   -4.6881 eV per atom

Cell: 5.6016 5.6016 5.6016 Å, 90.00 90.00 90.00°
Last column: nearest neighbours and their distance in Å.
Fractional coordinates of all 5 atoms:
1 I 0.5000 0.5000 0.5000  12 Y 3.96
2 Y 0.0000 0.5000 0.0000  2 Ag 2.80
3 Y 0.0000 0.0000 0.5000  2 Ag 2.80
4 Ag 0.0000 0.0000 0.0000  6 Y 2.80
5 Y 0.5000 0.0000 0.0000  2 Ag 2.80

(6)
Compound: ScPBrCl2
Source: the Alexandria database
Functional: PBE-GGA
Structure: optimized geometry

Total moment   0.961 Bohr magnetons per cell
Energy above the most stable polymorph in this dataset   0 meV per atom
SG   P4/mmm (123)
Final energy   -4.1705 eV per atom

Cell: 4.7929 4.7929 5.7013 Å, 90.00 90.00 90.00°
Last column: nearest neighbours and their distance in Å.
Fractional coordinates of all 5 atoms:
1 Cl 0.5000 0.0000 0.0000  2 Sc 2.40
2 Sc 0.0000 0.0000 0.0000  4 Cl 2.40
3 Br 0.5000 0.5000 0.5000  4 P 3.39, 8 Cl 3.72
4 Cl 0.0000 0.5000 0.0000  2 Sc 2.40
5 P 0.0000 0.0000 0.5000  2 Sc 2.85

(7)
Compound: Pm2Th2Sc
Source: the Alexandria database
Functional: PBE-GGA
Structure: optimized geometry

Total moment   0.000 Bohr magnetons per cell
Formation enthalpy at 0 K   0.046 eV/atom
SG   C2/m (12)
Final energy   -6.0883 eV per atom

Cell: 3.5693 3.5672 14.4037 Å, 89.88 82.88 59.98°
Last column: nearest neighbours and their distance in Å.
Fractional coordinates of all 5 atoms:
1 Pm 0.4100 0.2908 0.8891  3 Th 3.52-3.53, 9 Pm 3.57-3.79
2 Pm 0.5900 0.7092 0.1109  3 Th 3.52-3.53, 9 Pm 3.57-3.79
3 Th 0.2087 0.8942 0.6885  3 Sc 3.39, 3 Pm 3.52-3.53, 6 Th 3.57
4 Th 0.7913 0.1058 0.3115  3 Sc 3.39, 3 Pm 3.52-3.53, 6 Th 3.57
5 Sc 0.0000 0.5000 0.5000  6 Th 3.39, 6 Sc 3.57

(8)
Compound: TiSbTe2O
Source: the Alexandria database
Functional: PBE-GGA
Structure: optimized geometry

Total moment   0.068 Bohr magnetons per cell
Energy above the most stable polymorph in this dataset   0 meV per atom
SG   P4/mmm (123)
Final energy   -4.5715 eV per atom

Cell: 4.8178 4.8178 4.6654 Å, 90.00 90.00 90.00°
Last column: nearest neighbours and their distance in Å.
Fractional coordinates of all 5 atoms:
1 Te 0.0000 0.5000 0.0000  2 O 2.41
2 Sb 0.0000 0.0000 0.5000  2 O 2.33
3 Ti 0.5000 0.5000 0.5000  8 Te 3.35, 4 Sb 3.41
4 Te 0.5000 0.0000 0.0000  2 O 2.41
5 O 0.0000 0.0000 0.0000  2 Sb 2.33, 4 Te 2.41